(1)
Ce2Si2NiPt: optimized geometry, PBE-GGA. Values from VASP.

```
&SYSTEM
  ibrav = 0, nat = 6, ntyp = 4
/
ATOMIC_SPECIES
Si 28.09 Si.upf
Pt 195.08 Pt.upf
Ce 140.12 Ce.upf
Ni 58.69 Ni.upf
ATOMIC_POSITIONS crystal
Si 0.1746 0.6746 0.5000
Si 0.4132 0.4132 0.0000
Pt 0.5841 0.5841 0.0000
Ce 0.7532 0.2532 0.5000
Ce 0.9984 0.9984 0.0000
Ni 0.3346 0.8346 0.5000
CELL_PARAMETERS angstrom
-5.6745 4.4540 2.9008
-3.0618 1.4066 7.0072
6.1978 -0.7405 -4.6360
```

Properties
Electronic total energy (eV/atom): -6.6877
Raw formation energy (meV/atom): -931.7


(2)
ErLuThAl: optimized geometry, PBE-GGA. Values from VASP.

```
&SYSTEM
  ibrav = 0, nat = 4, ntyp = 4
/
ATOMIC_SPECIES
Al 26.98 Al.upf
Lu 174.97 Lu.upf
Th 232.04 Th.upf
Er 167.26 Er.upf
ATOMIC_POSITIONS crystal
Al 0.2500 0.2500 0.2500
Lu 0.7500 0.7500 0.7500
Th 0.5000 0.5000 0.5000
Er 0.0000 0.0000 0.0000
CELL_PARAMETERS angstrom
-3.8195 3.0007 2.1994
-5.1258 -1.3279 -0.6267
-2.7978 -1.8591 4.1407
```

Properties
Electronic total energy (eV/atom): -5.1034
Calculated formation energy (eV/atom): -0.04


(3)
Sc2Mn3Fe: optimized geometry, PBE-GGA. Values from VASP.

```
&SYSTEM
  ibrav = 0, nat = 6, ntyp = 3
/
ATOMIC_SPECIES
Sc 44.96 Sc.upf
Mn 54.94 Mn.upf
Fe 55.84 Fe.upf
ATOMIC_POSITIONS crystal
Sc 0.2482 0.6262 0.8745
Sc 0.7518 0.3738 0.1255
Mn 0.0000 0.0000 0.5000
Mn 0.5000 0.0000 0.5000
Mn 0.5000 0.5000 0.5000
Fe 0.0000 0.0000 0.0000
CELL_PARAMETERS angstrom
0.0146 -4.2330 -2.3397
1.6613 0.0275 4.5423
-4.3276 2.0741 1.4992
```

Properties
Electronic total energy (eV/atom): -8.2627
Calculated formation energy (eV/atom): -0.16


(4)
YMo2Se: optimized geometry, PBE-GGA. Values from VASP.

```
&SYSTEM
  ibrav = 0, nat = 4, ntyp = 3
/
ATOMIC_SPECIES
Mo 95.94 Mo.upf
Y 88.91 Y.upf
Se 78.96 Se.upf
ATOMIC_POSITIONS crystal
Mo 0.0134 0.0134 0.9395
Mo 0.4866 0.4866 0.5605
Y 0.2500 0.2500 0.2500
Se 0.7500 0.7500 0.7500
CELL_PARAMETERS angstrom
-2.2133 -0.8055 -4.9869
-0.0098 -3.3343 -4.3931
-3.4400 -2.8079 0.8074
```

Properties
Electronic total energy (eV/atom): -7.8933
Raw formation energy (meV/atom): 9.4